Record 1
# LaCd4Au8 | the Alexandria database | PBE-GGA | optimized geometry
# mass density: 13.3 Mg/m³
# total energy: -2.944 eV/atom
# E_form: -0.2663 eV per atom
# total moment: 0.00 μB/f.u.
data_LaCd4Au8
_chemical_formula_sum 'La2 Cd8 Au16'
_cell_length_a 9.695
_cell_length_b 9.695
_cell_length_c 5.734
_cell_angle_alpha 90.00
_cell_angle_beta 90.00
_cell_angle_gamma 90.00
_symmetry_space_group_name_H-M 'I 4/m m m'
_symmetry_Int_Tables_number 139
_symmetry_space_group_name_Hall '-I 4 2'
loop_
_atom_site_label
_atom_site_fract_x
_atom_site_fract_y
_atom_site_fract_z
La1 0.000 0.000 0.000
Cd1 0.250 0.250 0.250
Au1 0.000 0.211 0.500
Au2 0.000 0.342 0.000


Record 2
# La6CdAu | the Alexandria database | PBE-GGA | optimized geometry
# mass density: 7.3 Mg/m³
# total energy: -4.476 eV/atom
# E_form: -0.2568 eV per atom
# total moment: 0.00 μB/f.u.
data_La6CdAu
_chemical_formula_sum 'La12 Cd2 Au2'
_cell_length_a 5.427
_cell_length_b 5.427
_cell_length_c 17.592
_cell_angle_alpha 90.00
_cell_angle_beta 90.00
_cell_angle_gamma 90.00
_symmetry_space_group_name_H-M 'I 4/m m m'
_symmetry_Int_Tables_number 139
_symmetry_space_group_name_Hall '-I 4 2'
loop_
_atom_site_label
_atom_site_fract_x
_atom_site_fract_y
_atom_site_fract_z
La1 0.000 0.000 0.249
La2 0.000 0.500 0.109
Cd1 0.000 0.000 0.000
Au1 0.000 0.000 0.500


Record 3
# La2CdAu4 | the Alexandria database | PBE-GGA | optimized geometry
# mass density: 10.6 Mg/m³
# total energy: -4.029 eV/atom
# E_form: -0.6175 eV per atom
# total moment: 0.00 μB/f.u.
data_La2CdAu4
_chemical_formula_sum 'La6 Cd3 Au12'
_cell_length_a 4.7802
_cell_length_b 4.7802
_cell_length_c 28.0676
_cell_angle_alpha 90.00
_cell_angle_beta 90.00
_cell_angle_gamma 120.00
_symmetry_space_group_name_H-M 'R -3 m'
_symmetry_Int_Tables_number 166
_symmetry_space_group_name_Hall '-R 3 2"'
loop_
_atom_site_label
_atom_site_fract_x
_atom_site_fract_y
_atom_site_fract_z
La1 0.0000 0.0000 0.2487
Cd1 0.0000 0.0000 0.0000
Au1 0.0000 0.0000 0.1381
Au2 0.0000 0.0000 0.3625


Record 4
# La8Cd2Au | the Alexandria database | PBE-GGA | optimized geometry
# mass density: 7.1 Mg/m³
# total energy: -4.273 eV/atom
# E_form: -0.2253 eV per atom
# total moment: 0.00 μB/f.u.
data_La8Cd2Au
_chemical_formula_sum 'La16 Cd4 Au2'
_cell_length_a 16.847
_cell_length_b 5.614
_cell_length_c 8.955
_cell_angle_alpha 90.00
_cell_angle_beta 121.54
_cell_angle_gamma 90.00
_symmetry_space_group_name_H-M 'C 1 2/m 1'
_symmetry_Int_Tables_number 12
loop_
_symmetry_equiv_pos_as_xyz
'x,y,z'
'-x,-y,-z'
'-x,y,-z'
'x,-y,z'
'x+1/2,y+1/2,z'
'-x+1/2,-y+1/2,-z'
'-x+1/2,y+1/2,-z'
'x+1/2,-y+1/2,z'
loop_
_atom_site_label
_atom_site_fract_x
_atom_site_fract_y
_atom_site_fract_z
La1 0.073 0.000 0.221
La2 0.089 0.500 0.939
La3 0.133 0.000 0.681
La4 0.176 0.500 0.451
Cd1 0.227 0.000 0.111
Au1 0.000 0.500 0.500


Record 5
# LaCdAu | the Alexandria database | PBE-GGA | optimized geometry
# mass density: 9.6 Mg/m³
# total energy: -3.681 eV/atom
# E_form: -0.6414 eV per atom
# total moment: 0.00 μB/f.u.
data_LaCdAu
_chemical_formula_sum 'La2 Cd2 Au2'
_cell_length_a 4.925
_cell_length_b 3.662
_cell_length_c 8.617
_cell_angle_alpha 90.00
_cell_angle_beta 90.00
_cell_angle_gamma 90.00
_symmetry_space_group_name_H-M 'P m m a'
_symmetry_Int_Tables_number 51
loop_
_symmetry_equiv_pos_as_xyz
'x,y,z'
'-x,-y,-z'
'-x+1/2,-y,z'
'x+1/2,y,-z'
'x+1/2,-y,-z'
'-x+1/2,y,z'
'-x,y,-z'
'x,-y,z'
loop_
_atom_site_label
_atom_site_fract_x
_atom_site_fract_y
_atom_site_fract_z
La1 0.250 0.000 0.216
Cd1 0.250 0.500 0.580
Au1 0.250 0.500 0.909


Record 6
# La3CdAu | the Alexandria database | PBE-GGA | optimized geometry
# mass density: 8.0 Mg/m³
# total energy: -4.210 eV/atom
# E_form: -0.4147 eV per atom
# total moment: 0.36 μB/f.u.
data_La3CdAu
_chemical_formula_sum 'La12 Cd4 Au4'
_cell_length_a 5.474
_cell_length_b 20.083
_cell_length_c 5.473
_cell_angle_alpha 90.00
_cell_angle_beta 90.00
_cell_angle_gamma 90.00
_symmetry_space_group_name_H-M 'C m c m'
_symmetry_Int_Tables_number 63
_symmetry_space_group_name_Hall '-C 2c 2'
loop_
_atom_site_label
_atom_site_fract_x
_atom_site_fract_y
_atom_site_fract_z
La1 0.000 0.060 0.250
La2 0.000 0.249 0.250
La3 0.000 0.436 0.250
Cd1 0.000 0.151 0.750
Au1 0.000 0.349 0.750


Record 7
# LaCd6Au6 | the Alexandria database | PBE-GGA | optimized geometry
# mass density: 11.6 Mg/m³
# total energy: -2.582 eV/atom
# E_form: -0.2678 eV per atom
# total moment: 0.00 μB/f.u.
data_LaCd6Au6
_chemical_formula_sum 'La2 Cd12 Au12'
_cell_length_a 5.803
_cell_length_b 9.338
_cell_length_c 10.539
_cell_angle_alpha 90.00
_cell_angle_beta 90.00
_cell_angle_gamma 90.00
_symmetry_space_group_name_H-M 'I m m m'
_symmetry_Int_Tables_number 71
_symmetry_space_group_name_Hall '-I 2 2'
loop_
_atom_site_label
_atom_site_fract_x
_atom_site_fract_y
_atom_site_fract_z
La1 0.000 0.000 0.000
Cd1 0.000 0.223 0.500
Cd2 0.250 0.250 0.250
Au1 0.000 0.000 0.308
Au2 0.000 0.336 0.000
Au3 0.000 0.500 0.355


Record 8
# La2CdAu | the Alexandria database | PBE-GGA | optimized geometry
# mass density: 7.6 Mg/m³
# total energy: -3.905 eV/atom
# E_form: -0.3930 eV per atom
# total moment: 0.00 μB/f.u.
data_La2CdAu
_chemical_formula_sum 'La4 Cd2 Au2'
_cell_length_a 7.151
_cell_length_b 4.071
_cell_length_c 9.150
_cell_angle_alpha 90.00
_cell_angle_beta 104.43
_cell_angle_gamma 90.00
_symmetry_space_group_name_H-M 'C 1 2/m 1'
_symmetry_Int_Tables_number 12
loop_
_symmetry_equiv_pos_as_xyz
'x,y,z'
'-x,-y,-z'
'-x,y,-z'
'x,-y,z'
'x+1/2,y+1/2,z'
'-x+1/2,-y+1/2,-z'
'-x+1/2,y+1/2,-z'
'x+1/2,-y+1/2,z'
loop_
_atom_site_label
_atom_site_fract_x
_atom_site_fract_y
_atom_site_fract_z
La1 0.242 0.000 0.223
Cd1 0.000 0.000 0.500
Au1 0.000 0.500 0.000


Record 9
# LaCd5Au7 | the Alexandria database | PBE-GGA | optimized geometry
# mass density: 12.3 Mg/m³
# total energy: -2.770 eV/atom
# E_form: -0.2743 eV per atom
# total moment: 0.00 μB/f.u.
data_LaCd5Au7
_chemical_formula_sum 'La2 Cd10 Au14'
_cell_length_a 5.802
_cell_length_b 10.352
_cell_length_c 9.337
_cell_angle_alpha 90.00
_cell_angle_beta 90.00
_cell_angle_gamma 90.00
_symmetry_space_group_name_H-M 'I m m 2'
_symmetry_Int_Tables_number 44
loop_
_symmetry_equiv_pos_as_xyz
'x,y,z'
'-x,-y,z'
'-x,y,z'
'x,-y,z'
'x+1/2,y+1/2,z+1/2'
'-x+1/2,-y+1/2,z+1/2'
'-x+1/2,y+1/2,z+1/2'
'x+1/2,-y+1/2,z+1/2'
loop_
_atom_site_label
_atom_site_fract_x
_atom_site_fract_y
_atom_site_fract_z
La1 0.000 0.000 0.000
Cd1 0.000 0.500 0.224
Cd2 0.249 0.255 0.746
Au1 0.000 0.000 0.338
Au2 0.000 0.000 0.664
Au3 0.000 0.312 0.997
Au4 0.000 0.351 0.493
Au5 0.000 0.500 0.767


Record 10
# LaCd2Au2 | the Alexandria database | PBE-GGA | optimized geometry
# mass density: 10.3 Mg/m³
# total energy: -3.016 eV/atom
# E_form: -0.3532 eV per atom
# total moment: 0.00 μB/f.u.
data_LaCd2Au2
_chemical_formula_sum 'La2 Cd4 Au4'
_cell_length_a 7.816
_cell_length_b 7.816
_cell_length_c 3.985
_cell_angle_alpha 90.00
_cell_angle_beta 90.00
_cell_angle_gamma 90.00
_symmetry_space_group_name_H-M 'P 4/m b m'
_symmetry_Int_Tables_number 127
_symmetry_space_group_name_Hall '-P 4 2ab'
loop_
_atom_site_label
_atom_site_fract_x
_atom_site_fract_y
_atom_site_fract_z
La1 0.000 0.000 0.000
Cd1 0.166 0.334 0.500
Au1 0.129 0.629 0.000


Record 11
# La2Cd3Au4 | the Alexandria database | PBE-GGA | optimized geometry
# mass density: 10.8 Mg/m³
# total energy: -3.429 eV/atom
# E_form: -0.5723 eV per atom
# total moment: 0.00 μB/f.u.
data_La2Cd3Au4
_chemical_formula_sum 'La4 Cd6 Au8'
_cell_length_a 8.464
_cell_length_b 4.879
_cell_length_c 10.421
_cell_angle_alpha 90.00
_cell_angle_beta 90.22
_cell_angle_gamma 90.00
_symmetry_space_group_name_H-M 'C 1 2/m 1'
_symmetry_Int_Tables_number 12
loop_
_symmetry_equiv_pos_as_xyz
'x,y,z'
'-x,-y,-z'
'-x,y,-z'
'x,-y,z'
'x+1/2,y+1/2,z'
'-x+1/2,-y+1/2,-z'
'-x+1/2,y+1/2,-z'
'x+1/2,-y+1/2,z'
loop_
_atom_site_label
_atom_site_fract_x
_atom_site_fract_y
_atom_site_fract_z
La1 0.168 0.000 0.220
Cd1 0.000 0.500 0.000
Cd2 0.166 0.000 0.574
Au1 0.001 0.500 0.363
Au2 0.166 0.000 0.918


Record 12
# La4CdAu | the Alexandria database | PBE-GGA | optimized geometry
# mass density: 7.4 Mg/m³
# total energy: -4.364 eV/atom
# E_form: -0.3805 eV per atom
# total moment: 0.00 μB/f.u.
data_La4CdAu
_chemical_formula_sum 'La64 Cd16 Au16'
_cell_length_a 14.587
_cell_length_b 14.587
_cell_length_c 14.587
_cell_angle_alpha 90.00
_cell_angle_beta 90.00
_cell_angle_gamma 90.00
_symmetry_space_group_name_H-M 'F -4 3 m'
_symmetry_Int_Tables_number 216
_symmetry_space_group_name_Hall 'F -4 2 3'
loop_
_atom_site_label
_atom_site_fract_x
_atom_site_fract_y
_atom_site_fract_z
La1 0.000 0.000 0.183
La2 0.054 0.250 0.750
La3 0.105 0.105 0.395
Cd1 0.170 0.170 0.170
Au1 0.106 0.106 0.606